Entry 1:
KNbS3: single point on PBEsol structure, SCAN.

a = 4.9812 Å, b = 4.9812 Å, c = 4.9812 Å
α = 90.00°, β = 90.00°, γ = 90.00°
Last column: nearest neighbours and their distance in Å.
Fractional coordinates of all 5 atoms:
1 S 0.0000 0.5000 0.0000  2 K 2.49
2 S 0.0000 0.0000 0.5000  2 K 2.49
3 S 0.5000 0.0000 0.0000  2 K 2.49
4 Nb 0.5000 0.5000 0.5000  12 S 3.52
5 K 0.0000 0.0000 0.0000  6 S 2.49

ρ   3.066 g/cm3
D(E_F)   0.691 states/eV/atom
E_form (uncorrected)   1.400 eV/atom

***

Entry 2:
Ta2TcSb: single point on PBEsol structure, SCAN.

a = 3.0099 Å, b = 4.5333 Å, c = 5.3191 Å
α = 90.00°, β = 103.52°, γ = 90.00°
Last column: nearest neighbours and their distance in Å.
Fractional coordinates of all 4 atoms:
1 Sb 0.3970 0.5000 0.7519  2 Tc 2.74, 5 Ta 2.74-2.95, 2 Sb 3.01
2 Ta 0.9617 0.0000 0.0010  1 Tc 2.55
3 Ta 0.7187 0.5000 0.2792  2 Tc 2.71, 3 Sb 2.74-2.90, 4 Ta 2.89-3.01
4 Tc 0.4225 0.0000 0.4678  3 Ta 2.55-2.71, 2 Sb 2.74

ρ   13.687 g/cm3
D(E_F)   0.904 states/eV/atom
E_form (uncorrected)   0.051 eV/atom

***

Entry 3:
SrCrMo: single point on PBEsol structure, SCAN.

a = 2.9935 Å, b = 2.9935 Å, c = 7.3134 Å
α = 96.85°, β = 96.85°, γ = 114.66°
Last column: nearest neighbours and their distance in Å.
Fractional coordinates of all 3 atoms:
1 Cr 0.0250 0.0250 0.0500  2 Mo 2.28
2 Mo 0.6379 0.6379 0.2758  2 Cr 2.28
3 Sr 0.3371 0.3371 0.6742  6 Sr 2.99-3.23, 2 Cr 3.13, 2 Mo 3.27

ρ   6.734 g/cm3
D(E_F)   0.945 states/eV/atom
Energy   -24.1092 eV/atom

***

Entry 4:
CoTcOs2: single point on PBEsol structure, SCAN.

a = 2.6514 Å, b = 3.7238 Å, c = 5.2963 Å
α = 90.00°, β = 90.00°, γ = 90.00°
Last column: nearest neighbours and their distance in Å.
Fractional coordinates of all 4 atoms:
1 Co 0.5000 0.5000 0.5000  8 Os 2.61, 2 Tc 2.65, 2 Co 2.65
2 Os 0.0000 0.0000 0.7386  4 Os 2.53-2.77, 4 Co 2.61, 4 Tc 2.67
3 Os 0.0000 0.0000 0.2614  4 Os 2.53-2.77, 4 Co 2.61, 4 Tc 2.67
4 Tc 0.5000 0.5000 0.0000  2 Co 2.65, 2 Tc 2.65, 8 Os 2.67

ρ   17.065 g/cm3
D(E_F)   1.043 states/eV/atom
Energy   -48.8655 eV/atom

***

Entry 5:
MgScBe4: single point on PBEsol structure, SCAN.

a = 4.6952 Å, b = 4.6952 Å, c = 4.6952 Å
α = 60.00°, β = 60.00°, γ = 60.00°
Last column: nearest neighbours and their distance in Å.
Fractional coordinates of all 6 atoms:
1 Sc 0.0000 0.0000 0.0000  12 Be 2.75, 4 Mg 2.88
2 Be 0.6281 0.6281 0.1157  6 Be 2.29-2.41
3 Be 0.1157 0.6281 0.6281  6 Be 2.29-2.41
4 Be 0.6281 0.1157 0.6281  6 Be 2.29-2.41
5 Be 0.6281 0.6281 0.6281  6 Be 2.29-2.41
6 Mg 0.2500 0.2500 0.2500  12 Be 2.76, 4 Sc 2.88

ρ   2.389 g/cm3
D(E_F)   0.439 states/eV/atom
Energy   -6.0911 eV/atom

***

Entry 6:
Nd4V5Si4O22: single point on PBEsol structure, SCAN.

a = 5.5187 Å, b = 7.1697 Å, c = 11.0534 Å
α = 99.65°, β = 90.00°, γ = 112.63°
Last column: nearest neighbours and their distance in Å.
Fractional coordinates of all 35 atoms:
1 Nd 0.9284 0.8568 0.7505  6 O 2.39-2.56
2 Nd 0.0716 0.1432 0.2495  6 O 2.39-2.56
3 Nd 0.6392 0.2783 0.7596  7 O 2.35-2.52
4 Nd 0.3608 0.7217 0.2404  7 O 2.35-2.52
5 V 0.5000 0.0000 0.0000  6 O 2.00-2.04
6 V 0.0000 0.5000 0.5000  6 O 1.94-2.01
7 V 0.5000 0.5000 0.5000  6 O 1.94-2.01
8 V 0.0000 0.0000 0.5000  6 O 1.96-1.98
9 V 0.5000 0.0000 0.5000  6 O 1.95-2.00
10 Si 0.8598 0.7197 0.0397  4 O 1.60-1.64
11 Si 0.1402 0.2803 0.9603  4 O 1.60-1.64
12 Si 0.7027 0.4054 0.2323  4 O 1.60-1.64
13 Si 0.2973 0.5946 0.7677  4 O 1.60-1.64
14 O 0.7754 0.5508 0.1298  2 Si 1.61-1.63
15 O 0.2246 0.4492 0.8702  2 Si 1.61-1.63
16 O 0.8310 0.1390 0.9129  1 Si 1.64
17 O 0.6921 0.8610 0.0871  1 Si 1.64
18 O 0.1690 0.8610 0.0871  1 Si 1.64
19 O 0.3079 0.1390 0.9129  1 Si 1.64
20 O 0.8118 0.6236 0.8964  1 Si 1.60
21 O 0.1882 0.3764 0.1036  1 Si 1.60
22 O 0.5835 0.1670 0.1705  1 Si 1.60
23 O 0.4165 0.8330 0.8295  1 Si 1.60
24 O 0.0258 0.5411 0.6845  1 Si 1.64
25 O 0.4848 0.4589 0.3155  1 Si 1.64
26 O 0.9742 0.4589 0.3155  1 Si 1.64
27 O 0.3519 0.7039 0.4934  3 V 1.94-1.95
28 O 0.6481 0.2961 0.5066  3 V 1.94-1.95
29 O 0.1440 0.2881 0.4805  3 V 1.95-1.96
30 O 0.8560 0.7119 0.5195  3 V 1.95-1.96
31 O 0.2700 0.0456 0.6320  2 V 1.98-2.00
32 O 0.2245 0.9544 0.3680  2 V 1.98-2.00
33 O 0.7300 0.9544 0.3680  2 V 1.98-2.00
34 O 0.7755 0.0456 0.6320  2 V 1.98-2.00
35 O 0.5152 0.5411 0.6845  1 Si 1.64

ρ   5.421 g/cm3
D(E_F)   0.160 states/eV/atom
E_form (uncorrected)   -3.191 eV/atom

***

Entry 7:
ZnPRu2: single point on PBEsol structure, SCAN.

a = 2.7101 Å, b = 2.7101 Å, c = 8.5149 Å
α = 90.00°, β = 90.00°, γ = 118.08°
Last column: nearest neighbours and their distance in Å.
Fractional coordinates of all 4 atoms:
1 P 0.5000 0.5000 0.2312  2 Ru 2.32
2 Ru 0.0000 0.0000 0.0136  2 P 2.32
3 Ru 0.5000 0.5000 0.7523  2 Zn 2.54, 8 Ru 2.63-2.79
4 Zn 0.0000 0.0000 0.5028  2 Ru 2.54, 2 P 2.70, 6 Zn 2.71-2.79

ρ   8.983 g/cm3
D(E_F)   0.661 states/eV/atom
Energy   -23.0612 eV/atom

***

Entry 8:
Cs3Ca2Cl7: single point on PBEsol structure, SCAN.

a = 5.3441 Å, b = 5.3441 Å, c = 14.2969 Å
α = 100.77°, β = 100.77°, γ = 90.00°
Last column: nearest neighbours and their distance in Å.
Fractional coordinates of all 12 atoms:
1 Cs 0.6828 0.6828 0.3655  5 Cl 3.38-3.61
2 Cs 0.3172 0.3172 0.6345  5 Cl 3.38-3.61
3 Cs 0.5000 0.5000 0.0000  12 Cl 3.73-3.78
4 Ca 0.9016 0.9016 0.8033  6 Cl 2.66-2.71
5 Ca 0.0984 0.0984 0.1967  6 Cl 2.66-2.71
6 Cl 0.4055 0.9055 0.8109  2 Ca 2.67
7 Cl 0.5945 0.0945 0.1891  2 Ca 2.67
8 Cl 0.9055 0.4055 0.8109  2 Ca 2.67
9 Cl 0.0945 0.5945 0.1891  2 Ca 2.67
10 Cl 0.8053 0.8053 0.6106  1 Ca 2.66
11 Cl 0.1947 0.1947 0.3894  1 Ca 2.66
12 Cl 0.0000 0.0000 0.0000  2 Ca 2.71

ρ   3.066 g/cm3
D(E_F)   0.000 states/eV/atom
E_form (uncorrected)   -2.496 eV/atom

***

Entry 9:
CaCo2Si2: single point on PBEsol structure, SCAN.

a = 2.6029 Å, b = 7.0458 Å, c = 7.0458 Å
α = 90.00°, β = 90.00°, γ = 90.00°
Last column: nearest neighbours and their distance in Å.
Fractional coordinates of all 10 atoms:
1 Ca 0.0000 0.0000 0.0000  2 Ca 2.60, 4 Co 2.73
2 Ca 0.0000 0.5000 0.5000  2 Ca 2.60, 4 Co 2.73
3 Co 0.0000 0.3628 0.8628  6 Si 2.40-2.49, 2 Co 2.60
4 Co 0.0000 0.8628 0.6372  6 Si 2.40-2.49, 2 Co 2.60
5 Co 0.0000 0.6372 0.1372  6 Si 2.40-2.49, 2 Co 2.60
6 Co 0.0000 0.1372 0.3628  6 Si 2.40-2.49, 2 Co 2.60
7 Si 0.5000 0.1493 0.6493  6 Co 2.40-2.49, 2 Si 2.60
8 Si 0.5000 0.6493 0.8507  6 Co 2.40-2.49, 2 Si 2.60
9 Si 0.5000 0.8507 0.3507  6 Co 2.40-2.49, 2 Si 2.60
10 Si 0.5000 0.3507 0.1493  6 Co 2.40-2.49, 2 Si 2.60

ρ   5.503 g/cm3
D(E_F)   0.456 states/eV/atom
E_form (uncorrected)   -0.201 eV/atom

***

Entry 10:
Tc3PCl: single point on PBEsol structure, SCAN.

a = 4.2836 Å, b = 4.2836 Å, c = 4.2836 Å
α = 90.00°, β = 90.00°, γ = 90.00°
Last column: nearest neighbours and their distance in Å.
Fractional coordinates of all 5 atoms:
1 P 0.5000 0.5000 0.5000  12 Tc 3.03
2 Tc 0.0000 0.5000 0.0000  2 Cl 2.14
3 Tc 0.0000 0.0000 0.5000  2 Cl 2.14
4 Tc 0.5000 0.0000 0.0000  2 Cl 2.14
5 Cl 0.0000 0.0000 0.0000  6 Tc 2.14

ρ   7.615 g/cm3
D(E_F)   0.984 states/eV/atom
E_form (uncorrected)   1.469 eV/atom

***

Entry 11:
CoIr2Cl: single point on PBEsol structure, SCAN.

a = 2.6873 Å, b = 2.7591 Å, c = 8.6733 Å
α = 90.00°, β = 90.00°, γ = 119.14°
Last column: nearest neighbours and their distance in Å.
Fractional coordinates of all 4 atoms:
1 Ir 0.0000 0.0000 0.9844  2 Co 2.50, 8 Ir 2.63-2.76
2 Ir 0.5000 0.0000 0.2444  8 Ir 2.63-2.76, 2 Cl 2.82
3 Co 0.5000 0.0000 0.7410  2 Cl 2.27, 2 Ir 2.50
4 Cl 0.0000 0.0000 0.5302  2 Co 2.27

ρ   14.156 g/cm3
D(E_F)   0.883 states/eV/atom
E_form (uncorrected)   0.510 eV/atom

***

Entry 12:
TeOsPt: single point on PBEsol structure, SCAN.

a = 3.0092 Å, b = 3.7279 Å, c = 5.1301 Å
α = 111.31°, β = 107.06°, γ = 90.00°
Last column: nearest neighbours and their distance in Å.
Fractional coordinates of all 3 atoms:
1 Os 0.9900 0.9900 0.9800  4 Te 2.72, 5 Pt 2.86-2.98, 2 Os 3.01
2 Pt 0.6619 0.6619 0.3238  5 Te 2.85-2.93, 5 Os 2.86-2.98, 2 Pt 3.01
3 Te 0.3481 0.3481 0.6962  4 Os 2.72, 5 Pt 2.85-2.93, 2 Te 3.01

ρ   16.736 g/cm3
D(E_F)   1.032 states/eV/atom
E_form (uncorrected)   0.722 eV/atom